A plane-wave DFT calculation with PBE-GGA was carried out for a relaxed PuMg5Pd6 crystal.

Output
formation enthalpy at 0 K: -632.9 meV/atom
SG: P2/m (10)
final energy: -0.1870 hartree per atom
DOS at the Fermi energy: 13.46 states/eV/cell

Cell lengths 4.5770, 6.6195, 7.1462 Å; angles 90.00, 106.11, 90.00 degrees
Sites, in units of the cell vectors:
Pu 0.0000 0.0000 0.0000
Mg 0.0000 0.5000 0.0000
Mg 0.3289 0.0000 0.6541
Mg 0.3346 0.5000 0.6693
Mg 0.6654 0.5000 0.3307
Mg 0.6711 0.0000 0.3459
Pd 0.1707 0.2600 0.3410
Pd 0.1707 0.7400 0.3410
Pd 0.5000 0.2655 0.0000
Pd 0.5000 0.7345 0.0000
Pd 0.8293 0.2600 0.6590
Pd 0.8293 0.7400 0.6590

A plane-wave DFT calculation with PBE-GGA was carried out for a relaxed LaTiAl crystal.

Output
formation enthalpy at 0 K: -20.9 meV/atom
SG: I4mm (107)
final energy: -0.2037 hartree per atom
DOS at the Fermi energy: 4.32 states/eV/cell

Cell lengths 7.0718, 7.0718, 7.0718 Å; angles 154.07, 154.07, 36.99 degrees
Sites, in units of the cell vectors:
La 0.0000 0.0000 0.0000
Ti 0.6937 0.6937 0.0000
Al 0.3171 0.3171 0.0000